# Pm4TmPt5

A relaxed Pm4TmPt5 crystal (GGA-PBE, Alexandria via LeMat-Bulk).

abc: 3.537 3.537 17.988
angles: 90.00 90.00 90.00
Atoms (fractional coordinates):
Pm 0.000 0.000 0.102
Pm 0.000 0.000 0.305
Pm 0.000 0.000 0.695
Pm 0.000 0.000 0.898
Tm 0.000 0.000 0.500
Pt 0.500 0.500 0.000
Pt 0.500 0.500 0.203
Pt 0.500 0.500 0.409
Pt 0.500 0.500 0.591
Pt 0.500 0.500 0.797

* energy of formation from the pure elements: -1118 meV per atom
* DFT total energy: -64.85 eV for the cell shown


# PmTm3Pt2

A relaxed PmTm3Pt2 crystal (GGA-PBE, Alexandria via LeMat-Bulk).

abc: 4.754 8.759 7.126
angles: 90.00 90.00 90.00
Atoms (fractional coordinates):
Pm 0.000 0.080 0.000
Pm 0.000 0.920 0.500
Tm 0.000 0.333 0.634
Tm 0.000 0.667 0.134
Tm 0.500 0.176 0.347
Tm 0.500 0.421 0.979
Tm 0.500 0.579 0.479
Tm 0.500 0.824 0.847
Pt 0.000 0.348 0.237
Pt 0.000 0.652 0.737
Pt 0.500 0.162 0.743
Pt 0.500 0.838 0.243

* excess energy over the best structure of this formula in the dataset: 0 meV/atom
* energy of formation from the pure elements: -968 meV per atom
* DFT total energy: -72.11 eV for the cell shown


# PmTmPt3

A relaxed PmTmPt3 crystal (GGA-PBE, Alexandria via LeMat-Bulk).

abc: 13.623 13.623 4.254
angles: 90.00 90.00 163.89
Atoms (fractional coordinates):
Pm 0.074 0.926 0.750
Pm 0.926 0.074 0.250
Tm 0.207 0.793 0.250
Tm 0.793 0.207 0.750
Pt 0.312 0.688 0.250
Pt 0.375 0.625 0.750
Pt 0.471 0.529 0.750
Pt 0.529 0.471 0.250
Pt 0.625 0.375 0.250
Pt 0.688 0.312 0.750

* energy of formation from the pure elements: -1127 meV per atom
* DFT total energy: -65.96 eV for the cell shown


# Pm2Tm3Pt4

A relaxed Pm2Tm3Pt4 crystal (GGA-PBE, Alexandria via LeMat-Bulk).

abc: 7.598 7.637 7.704
angles: 90.00 109.68 90.00
Atoms (fractional coordinates):
Pm 0.195 0.177 0.077
Pm 0.195 0.323 0.577
Pm 0.805 0.677 0.423
Pm 0.805 0.823 0.923
Tm 0.246 0.664 0.248
Tm 0.246 0.836 0.748
Tm 0.500 0.000 0.500
Tm 0.500 0.500 0.000
Tm 0.754 0.164 0.252
Tm 0.754 0.336 0.752
Pt 0.090 0.539 0.859
Pt 0.090 0.961 0.359
Pt 0.497 0.135 0.870
Pt 0.497 0.365 0.370
Pt 0.503 0.635 0.630
Pt 0.503 0.865 0.130
Pt 0.910 0.039 0.641
Pt 0.910 0.461 0.141

* excess energy over the best structure of this formula in the dataset: 0 meV/atom
* energy of formation from the pure elements: -1194 meV per atom
* DFT total energy: -115.64 eV for the cell shown


# PmTm3Pt

A relaxed PmTm3Pt crystal (GGA-PBE, Alexandria via LeMat-Bulk).

abc: 5.418 5.418 5.418
angles: 90.00 90.00 90.00
Atoms (fractional coordinates):
Pm 0.000 0.000 0.000
Tm 0.000 0.500 0.500
Tm 0.500 0.000 0.500
Tm 0.500 0.500 0.000
Pt 0.500 0.500 0.500

* excess energy over the best structure of this formula in the dataset: 125 meV/atom
* energy of formation from the pure elements: -402 meV per atom
* DFT total energy: -26.22 eV for the cell shown


# Pm2Tm3Pt4

A relaxed Pm2Tm3Pt4 crystal (GGA-PBE, Alexandria via LeMat-Bulk).

abc: 8.672 8.672 7.733
angles: 90.00 90.00 131.43
Atoms (fractional coordinates):
Pm 0.099 0.901 0.901
Pm 0.401 0.599 0.401
Pm 0.599 0.401 0.599
Pm 0.901 0.099 0.099
Tm 0.000 0.000 0.500
Tm 0.036 0.464 0.750
Tm 0.464 0.036 0.250
Tm 0.500 0.500 0.000
Tm 0.536 0.964 0.750
Tm 0.964 0.536 0.250
Pt 0.190 0.810 0.549
Pt 0.211 0.289 0.750
Pt 0.289 0.211 0.250
Pt 0.310 0.690 0.049
Pt 0.690 0.310 0.951
Pt 0.711 0.789 0.750
Pt 0.789 0.711 0.250
Pt 0.810 0.190 0.451

* excess energy over the best structure of this formula in the dataset: 150 meV/atom
* energy of formation from the pure elements: -1043 meV per atom
* DFT total energy: -112.94 eV for the cell shown


# PmTm2Pt2

A relaxed PmTm2Pt2 crystal (GGA-PBE, Alexandria via LeMat-Bulk).

abc: 5.413 4.622 10.351
angles: 90.00 97.08 90.00
Atoms (fractional coordinates):
Pm 0.076 0.250 0.281
Pm 0.924 0.750 0.719
Tm 0.273 0.750 0.029
Tm 0.376 0.250 0.613
Tm 0.624 0.750 0.387
Tm 0.727 0.250 0.971
Pt 0.159 0.750 0.472
Pt 0.202 0.250 0.868
Pt 0.798 0.750 0.132
Pt 0.841 0.250 0.528

* energy of formation from the pure elements: -1047 meV per atom
* DFT total energy: -62.02 eV for the cell shown


# Pm3TmPt8

A relaxed Pm3TmPt8 crystal (GGA-PBE, Alexandria via LeMat-Bulk).

abc: 9.488 9.488 9.488
angles: 33.54 33.54 33.54
Atoms (fractional coordinates):
Pm 0.000 0.000 0.000
Pm 0.126 0.126 0.126
Pm 0.624 0.624 0.624
Tm 0.499 0.499 0.499
Pt 0.062 0.062 0.561
Pt 0.062 0.561 0.062
Pt 0.065 0.562 0.562
Pt 0.312 0.312 0.312
Pt 0.561 0.062 0.062
Pt 0.562 0.065 0.562
Pt 0.562 0.562 0.065
Pt 0.813 0.813 0.813

* energy of formation from the pure elements: -1090 meV per atom
* DFT total energy: -80.13 eV for the cell shown


# Pm2Tm3Pt2

A relaxed Pm2Tm3Pt2 crystal (GGA-PBE, Alexandria via LeMat-Bulk).

abc: 6.476 6.476 9.064
angles: 116.15 116.15 33.56
Atoms (fractional coordinates):
Pm 0.160 0.160 0.312
Pm 0.840 0.840 0.688
Tm 0.383 0.383 0.063
Tm 0.500 0.500 0.500
Tm 0.617 0.617 0.937
Pt 0.168 0.168 0.741
Pt 0.832 0.832 0.259

* energy of formation from the pure elements: -801 meV per atom
* DFT total energy: -40.60 eV for the cell shown


# Pm5TmPt6

A relaxed Pm5TmPt6 crystal (GGA-PBE, Alexandria via LeMat-Bulk).

abc: 8.768 8.768 5.044
angles: 106.43 106.43 47.41
Atoms (fractional coordinates):
Pm 0.000 0.000 0.000
Pm 0.166 0.166 0.667
Pm 0.333 0.333 0.333
Pm 0.667 0.667 0.667
Pm 0.834 0.834 0.333
Tm 0.500 0.500 0.000
Pt 0.098 0.585 0.841
Pt 0.261 0.739 0.500
Pt 0.415 0.902 0.159
Pt 0.585 0.098 0.841
Pt 0.739 0.261 0.500
Pt 0.902 0.415 0.159

* energy of formation from the pure elements: -1113 meV per atom
* DFT total energy: -77.82 eV for the cell shown


# PmTmPt6

A relaxed PmTmPt6 crystal (GGA-PBE, Alexandria via LeMat-Bulk).

abc: 4.137 4.137 8.271
angles: 90.00 90.00 90.00
Atoms (fractional coordinates):
Pm 0.000 0.000 0.000
Tm 0.000 0.000 0.500
Pt 0.000 0.500 0.257
Pt 0.000 0.500 0.743
Pt 0.500 0.000 0.257
Pt 0.500 0.000 0.743
Pt 0.500 0.500 0.000
Pt 0.500 0.500 0.500

* energy of formation from the pure elements: -994 meV per atom
* DFT total energy: -53.42 eV for the cell shown